Record 1
# GGA-PBE TlAsPb2, optimized geometry
data_TlAsPb2
_space_group_name_H-M_alt 'P 1'
_space_group_IT_number 1
_space_group_name_Hall 'P 1'
_cell_length_a 6.194
_cell_length_b 6.194
_cell_length_c 6.194
_cell_angle_alpha 135.77
_cell_angle_beta 135.77
_cell_angle_gamma 64.34
loop_
_atom_site_label
_atom_site_type_symbol
_atom_site_fract_x
_atom_site_fract_y
_atom_site_fract_z
Pb1 Pb 0.250 0.750 0.500
Pb2 Pb 0.000 0.000 0.000
Tl1 Tl 0.500 0.500 0.000
As1 As 0.750 0.250 0.500
# symmetry: I-4m2
# E_form: 95 meV/atom
# relative energy among the computed polymorphs: 6.9 kJ/mol of atoms

=====

Record 2
# GGA-PBE NaDyPt2, optimized geometry
data_NaDyPt2
_space_group_name_H-M_alt 'P 1'
_space_group_IT_number 1
_space_group_name_Hall 'P 1'
_cell_length_a 3.579
_cell_length_b 3.579
_cell_length_c 6.070
_cell_angle_alpha 90.00
_cell_angle_beta 90.00
_cell_angle_gamma 90.00
loop_
_atom_site_label
_atom_site_type_symbol
_atom_site_fract_x
_atom_site_fract_y
_atom_site_fract_z
Na1 Na 0.500 0.500 0.500
Pt1 Pt 0.000 0.000 0.251
Pt2 Pt 0.000 0.000 0.749
Dy1 Dy 0.500 0.500 0.000
# symmetry: P4/mmm
# E_form: -759 meV/atom

=====

Record 3
# GGA-PBE LiZrZn11, optimized geometry
data_LiZrZn11
_space_group_name_H-M_alt 'P 1'
_space_group_IT_number 1
_space_group_name_Hall 'P 1'
_cell_length_a 5.185
_cell_length_b 6.678
_cell_length_c 6.641
_cell_angle_alpha 81.34
_cell_angle_beta 67.02
_cell_angle_gamma 67.31
loop_
_atom_site_label
_atom_site_type_symbol
_atom_site_fract_x
_atom_site_fract_y
_atom_site_fract_z
Zn1 Zn 0.706 0.784 0.789
Zn2 Zn 0.010 0.648 0.347
Zn3 Zn 0.000 0.000 0.500
Zn4 Zn 0.357 0.648 0.653
Zn5 Zn 0.294 0.216 0.211
Zn6 Zn 0.505 0.216 0.789
Zn7 Zn 0.643 0.352 0.347
Zn8 Zn 0.495 0.784 0.211
Zn9 Zn 0.500 0.000 0.500
Zn10 Zn 0.000 0.500 0.000
Zn11 Zn 0.990 0.352 0.653
Zr1 Zr 0.000 0.000 0.000
Li1 Li 0.500 0.500 0.000
# symmetry: C2/m
# E_form: -143 meV/atom

=====

Record 4
# GGA-PBE Pr2Si3AgAu4, optimized geometry
data_Pr2Si3AgAu4
_space_group_name_H-M_alt 'P 1'
_space_group_IT_number 1
_space_group_name_Hall 'P 1'
_cell_length_a 4.379
_cell_length_b 4.379
_cell_length_c 10.627
_cell_angle_alpha 90.00
_cell_angle_beta 90.00
_cell_angle_gamma 90.00
loop_
_atom_site_label
_atom_site_type_symbol
_atom_site_fract_x
_atom_site_fract_y
_atom_site_fract_z
Au1 Au 0.000 0.500 0.355
Au2 Au 0.000 0.000 0.000
Au3 Au 0.500 0.500 0.000
Au4 Au 0.500 0.000 0.645
Si1 Si 0.000 0.500 0.129
Si2 Si 0.500 0.000 0.871
Si3 Si 0.000 0.000 0.500
Pr1 Pr 0.500 0.000 0.245
Pr2 Pr 0.000 0.500 0.755
Ag1 Ag 0.500 0.500 0.500
# E_form (uncorrected): -0.522 eV per atom
# symmetry: P-4m2

=====

Record 5
# GGA-PBE Ce2ZnIn, optimized geometry
data_Ce2ZnIn
_space_group_name_H-M_alt 'P 1'
_space_group_IT_number 1
_space_group_name_Hall 'P 1'
_cell_length_a 5.314
_cell_length_b 5.314
_cell_length_c 5.314
_cell_angle_alpha 60.01
_cell_angle_beta 60.01
_cell_angle_gamma 60.01
loop_
_atom_site_label
_atom_site_type_symbol
_atom_site_fract_x
_atom_site_fract_y
_atom_site_fract_z
Ce1 Ce 0.000 0.000 0.000
Ce2 Ce 0.500 0.500 0.500
Zn1 Zn 0.750 0.750 0.750
In1 In 0.250 0.250 0.250
# symmetry: Fm-3m
# E_form: -218 meV/atom

=====

Record 6
# GGA-PBE Ce2Nd3TaN6, optimized geometry
data_Ce2Nd3TaN6
_space_group_name_H-M_alt 'P 1'
_space_group_IT_number 1
_space_group_name_Hall 'P 1'
_cell_length_a 6.059
_cell_length_b 6.059
_cell_length_c 6.107
_cell_angle_alpha 99.43
_cell_angle_beta 99.43
_cell_angle_gamma 119.95
loop_
_atom_site_label
_atom_site_type_symbol
_atom_site_fract_x
_atom_site_fract_y
_atom_site_fract_z
Ce1 Ce 0.333 0.667 0.000
Ce2 Ce 0.667 0.333 0.000
N1 N 0.624 0.929 0.787
N2 N 0.929 0.624 0.787
N3 N 0.376 0.071 0.213
N4 N 0.232 0.232 0.778
N5 N 0.768 0.768 0.222
N6 N 0.071 0.376 0.213
Nd1 Nd 0.166 0.834 0.500
Nd2 Nd 0.834 0.166 0.500
Nd3 Nd 0.500 0.500 0.500
Ta1 Ta 0.000 0.000 0.000
# E_form (uncorrected): -1.381 eV per atom
# symmetry: C2/m

=====

Record 7
# GGA-PBE PrTlSb2, optimized geometry
data_PrTlSb2
_space_group_name_H-M_alt 'P 1'
_space_group_IT_number 1
_space_group_name_Hall 'P 1'
_cell_length_a 4.492
_cell_length_b 4.492
_cell_length_c 8.240
_cell_angle_alpha 74.18
_cell_angle_beta 74.18
_cell_angle_gamma 60.00
loop_
_atom_site_label
_atom_site_type_symbol
_atom_site_fract_x
_atom_site_fract_y
_atom_site_fract_z
Sb1 Sb 0.753 0.753 0.740
Sb2 Sb 0.247 0.247 0.260
Pr1 Pr 0.500 0.500 0.500
Tl1 Tl 0.000 0.000 0.000
# E_form (uncorrected): -0.315 eV per atom
# symmetry: R-3m
# relative energy among the computed polymorphs: 21.3 kJ/mol of atoms

=====

Record 8
# GGA-PBE Li6SBr2Cl2, optimized geometry
data_Li6SBr2Cl2
_space_group_name_H-M_alt 'P 1'
_space_group_IT_number 1
_space_group_name_Hall 'P 1'
_cell_length_a 6.563
_cell_length_b 6.563
_cell_length_c 7.165
_cell_angle_alpha 106.64
_cell_angle_beta 106.64
_cell_angle_gamma 110.12
loop_
_atom_site_label
_atom_site_type_symbol
_atom_site_fract_x
_atom_site_fract_y
_atom_site_fract_z
Li1 Li 0.330 0.977 0.741
Li2 Li 0.023 0.670 0.259
Li3 Li 0.239 0.239 0.375
Li4 Li 0.977 0.330 0.741
Li5 Li 0.670 0.023 0.259
Li6 Li 0.761 0.761 0.625
Cl1 Cl 0.344 0.656 0.500
Cl2 Cl 0.656 0.344 0.500
Br1 Br 0.800 0.200 0.000
Br2 Br 0.200 0.800 0.000
S1 S 0.000 0.000 0.500
# E_form (uncorrected): -1.522 eV per atom
# symmetry: C2/m

=====

Record 9
# GGA-PBE LiAc2Si3Ni4, optimized geometry
data_LiAc2Si3Ni4
_space_group_name_H-M_alt 'P 1'
_space_group_IT_number 1
_space_group_name_Hall 'P 1'
_cell_length_a 4.177
_cell_length_b 4.177
_cell_length_c 9.910
_cell_angle_alpha 90.00
_cell_angle_beta 90.00
_cell_angle_gamma 90.00
loop_
_atom_site_label
_atom_site_type_symbol
_atom_site_fract_x
_atom_site_fract_y
_atom_site_fract_z
Ni1 Ni 0.500 0.500 0.000
Ni2 Ni 0.000 0.500 0.366
Ni3 Ni 0.000 0.000 0.000
Ni4 Ni 0.500 0.000 0.634
Ac1 Ac 0.500 0.000 0.251
Ac2 Ac 0.000 0.500 0.749
Si1 Si 0.000 0.000 0.500
Si2 Si 0.000 0.500 0.117
Si3 Si 0.500 0.000 0.883
Li1 Li 0.500 0.500 0.500
# E_form (uncorrected): -0.567 eV per atom
# symmetry: P-4m2

=====

Record 10
# GGA-PBE Tb3Sm6TmSc2, optimized geometry
data_Tb3Sm6TmSc2
_space_group_name_H-M_alt 'P 1'
_space_group_IT_number 1
_space_group_name_Hall 'P 1'
_cell_length_a 6.152
_cell_length_b 6.152
_cell_length_c 11.612
_cell_angle_alpha 95.05
_cell_angle_beta 95.05
_cell_angle_gamma 119.98
loop_
_atom_site_label
_atom_site_type_symbol
_atom_site_fract_x
_atom_site_fract_y
_atom_site_fract_z
Sm1 Sm 0.417 0.081 0.243
Sm2 Sm 0.255 0.255 0.757
Sm3 Sm 0.583 0.919 0.757
Sm4 Sm 0.745 0.745 0.243
Sm5 Sm 0.919 0.583 0.757
Sm6 Sm 0.081 0.417 0.243
Sc1 Sc 0.333 0.667 0.000
Sc2 Sc 0.667 0.333 0.000
Tm1 Tm 0.000 0.000 0.000
Tb1 Tb 0.500 0.500 0.500
Tb2 Tb 0.833 0.167 0.500
Tb3 Tb 0.167 0.833 0.500
# symmetry: C2/m
# E_form: 36 meV/atom

=====

Record 11
# GGA-PBE TbSm8Ho2, optimized geometry
data_TbSm8Ho2
_space_group_name_H-M_alt 'P 1'
_space_group_IT_number 1
_space_group_name_Hall 'P 1'
_cell_length_a 6.685
_cell_length_b 10.309
_cell_length_c 10.309
_cell_angle_alpha 38.15
_cell_angle_beta 59.65
_cell_angle_gamma 59.65
loop_
_atom_site_label
_atom_site_type_symbol
_atom_site_fract_x
_atom_site_fract_y
_atom_site_fract_z
Sm1 Sm 0.828 0.245 0.245
Sm2 Sm 0.727 0.592 0.592
Sm3 Sm 0.172 0.755 0.755
Sm4 Sm 0.770 0.174 0.650
Sm5 Sm 0.273 0.408 0.408
Sm6 Sm 0.230 0.350 0.826
Sm7 Sm 0.770 0.650 0.174
Sm8 Sm 0.230 0.826 0.350
Ho1 Ho 0.594 0.801 0.801
Ho2 Ho 0.406 0.199 0.199
Tb1 Tb 0.000 0.000 0.000
# symmetry: C2/m
# E_form: 171 meV/atom
# relative energy among the computed polymorphs: 4.7 kJ/mol of atoms

=====

Record 12
# GGA-PBE TlH2Se, optimized geometry
data_TlH2Se
_space_group_name_H-M_alt 'P 1'
_space_group_IT_number 1
_space_group_name_Hall 'P 1'
_cell_length_a 4.329
_cell_length_b 4.329
_cell_length_c 4.329
_cell_angle_alpha 60.00
_cell_angle_beta 60.00
_cell_angle_gamma 60.00
loop_
_atom_site_label
_atom_site_type_symbol
_atom_site_fract_x
_atom_site_fract_y
_atom_site_fract_z
Tl1 Tl 0.500 0.500 0.500
Se1 Se 0.000 0.000 0.000
H1 H 0.250 0.250 0.250
H2 H 0.750 0.750 0.750
# symmetry: Fm-3m
# relative energy among the computed polymorphs: 85.2 kJ/mol of atoms

=====

Result set for E_tot: -14.1; -21.0; -26.3; -47.0; -16.8; -104.5; -16.6; -39.4; -55.2; -58.9; -49.7; -9.5 eV/cell, one per record in the order listed.